Computed, not measured: a geometry-optimized GaCoNi structure at the PBE-GGA level of DFT.

Unit cell a=2.7131 b=2.7131 c=10.3640 alpha=97.52 beta=97.52 gamma=90.00
Site moments in Bohr magnetons follow the coordinates.
Positions (direct):
Ni 0.5568 0.5568 0.1136  -0.07
Ni 0.4432 0.4432 0.8864  -0.07
Ga 0.1317 0.1317 0.2634  -0.03
Ga 0.8683 0.8683 0.7366  -0.03
Co 0.2868 0.2868 0.5736  1.33
Co 0.7132 0.7132 0.4264  1.33

Output
- Symmetry: I4/mmm, No. 139
- ΔE_f: -5 kJ/mol of atoms

Computed, not measured: a geometry-optimized Pm2OsPbO8 structure at the PBE-GGA level of DFT.

Unit cell a=5.1334 b=5.1317 c=6.9896 alpha=90.00 beta=90.00 gamma=90.53
Positions (direct):
O 0.6920 0.6925 0.5000
O 0.2574 0.2570 0.0001
O 0.3080 0.3075 0.5000
O 0.1780 0.8217 0.7929
O 0.7426 0.7430 0.9999
O 0.1779 0.8216 0.2071
O 0.8220 0.1783 0.2071
O 0.8221 0.1784 0.7929
Os 0.0000 0.0000 0.0000
Pm 0.4999 0.4999 0.7498
Pm 0.5001 0.5001 0.2502
Pb 0.0000 0.0000 0.5000

Output
- Symmetry: Cmmm, No. 65
- Formation energy from raw total energies: -1.959 eV per atom

Computed, not measured: a geometry-optimized CsCoPbCl6 structure at the PBE-GGA level of DFT.

Unit cell a=6.9787 b=6.9792 c=7.3739 alpha=90.01 beta=90.00 gamma=59.98
Positions (direct):
Cl 0.0672 0.3376 0.3177
Cl 0.5950 0.3377 0.6823
Cl 0.3376 0.0673 0.6823
Cl 0.5952 0.0671 0.3178
Cl 0.0671 0.5953 0.6822
Cl 0.3377 0.5950 0.3177
Pb 0.6666 0.6667 0.5000
Co 0.3333 0.3333 0.5000
Cs 0.0000 0.0000 0.0000

Output
- Symmetry: P312, No. 149
- Formation energy from raw total energies: -1.061 eV per atom

Computed, not measured: a geometry-optimized NdY6Er4 structure at the PBE-GGA level of DFT.

Unit cell a=5.6697 b=5.6262 c=25.7566 alpha=90.00 beta=90.00 gamma=120.26
Positions (direct):
Y 0.8422 0.6845 0.8197
Y 0.1750 0.3501 0.8987
Y 0.1578 0.3155 0.3197
Y 0.1578 0.3155 0.1803
Y 0.5000 0.0000 0.5000
Y 0.1750 0.3501 0.6013
Y 0.5000 0.0000 0.0000
Y 0.8250 0.6499 0.1013
Y 0.8422 0.6845 0.6803
Y 0.5081 0.0161 0.7500
Y 0.4919 0.9839 0.2500
Y 0.8250 0.6499 0.3987
Er 0.4895 0.9791 0.3791
Er 0.1634 0.3269 0.0416
Er 0.8366 0.6731 0.9584
Er 0.5105 0.0209 0.6209
Er 0.4895 0.9791 0.1209
Er 0.5105 0.0209 0.8791
Er 0.1634 0.3269 0.4584
Er 0.8366 0.6731 0.5416
Nd 0.8257 0.6515 0.2500
Nd 0.1743 0.3485 0.7500

Output
- Symmetry: Cmcm, No. 63
- ΔE_f: 11 kJ/mol of atoms
- Polymorph energy (0 for the lowest one): 0 meV/atom

Computed, not measured: a geometry-optimized Cs2SiS3 structure at the PBE-GGA level of DFT.

Unit cell a=6.9304 b=8.0658 c=16.2605 alpha=89.99 beta=89.98 gamma=64.56
Positions (direct):
Si 0.2457 0.0088 0.3244
Si 0.7543 0.9912 0.6756
Si 0.2545 0.9912 0.8244
Si 0.7455 0.0088 0.1756
Cs 0.0619 0.3755 0.1397
Cs 0.4374 0.6245 0.6397
Cs 0.1396 0.2211 0.5669
Cs 0.3607 0.7789 0.0669
Cs 0.5626 0.3755 0.3603
Cs 0.6393 0.2211 0.9331
Cs 0.8604 0.7789 0.4331
Cs 0.9381 0.6245 0.8603
S 0.6044 0.2904 0.1544
S 0.3956 0.7096 0.8456
S 0.4486 0.1029 0.7500
S 0.1052 0.2904 0.3456
S 0.1691 0.1615 0.9284
S 0.0512 0.8976 0.2500
S 0.3306 0.8385 0.4284
S 0.5514 0.8971 0.2500
S 0.6694 0.1615 0.5716
S 0.9488 0.1024 0.7500
S 0.8948 0.7096 0.6544
S 0.8309 0.8385 0.0716

Output
- Symmetry: Cmce, No. 64
- Formation energy from raw total energies: -1.093 eV per atom

Computed, not measured: a geometry-optimized Dy2YSc5 structure at the PBE-GGA level of DFT.

Unit cell a=6.7131 b=6.7131 c=6.7131 alpha=91.37 beta=119.21 gamma=119.21
Positions (direct):
Dy 0.5000 0.7778 0.2778
Dy 0.5000 0.2778 0.7778
Sc 0.0000 0.2779 0.7776
Sc 0.5003 0.2779 0.2779
Sc 0.0000 0.2774 0.2774
Sc 0.0000 0.7776 0.2779
Sc 0.4997 0.7776 0.7776
Y 0.0000 0.7781 0.7781

Output
- Symmetry: I4mm, No. 107
- ΔE_f: 6 kJ/mol of atoms
- Polymorph energy (0 for the lowest one): 38 meV/atom

Computed, not measured: a geometry-optimized KSr2ScCl8 structure at the PBE-GGA level of DFT.

Unit cell a=6.6322 b=6.4260 c=8.9294 alpha=90.01 beta=90.00 gamma=89.91
Positions (direct):
Cl 0.6948 0.7495 0.0001
Cl 0.8409 0.2145 0.2012
Cl 0.6298 0.7326 0.5000
Cl 0.3702 0.2674 0.5000
Cl 0.1591 0.7855 0.7988
Cl 0.3052 0.2505 0.9999
Cl 0.1593 0.7857 0.2011
Cl 0.8407 0.2143 0.7989
Sc 0.0000 0.0000 0.0000
Sr 0.5000 0.5000 0.7555
Sr 0.5000 0.5000 0.2445
K 0.0000 0.0000 0.5000

Output
- Symmetry: P2/m, No. 10
- Formation energy from raw total energies: -2.246 eV per atom

Computed, not measured: a geometry-optimized UWC2 structure at the PBE-GGA level of DFT.

Unit cell a=3.2243 b=3.2243 c=5.7993 alpha=73.86 beta=73.86 gamma=60.00
Site moments in Bohr magnetons follow the coordinates.
Positions (direct):
U 0.5000 0.5000 0.5000  0.72
C 0.2602 0.2602 0.2195  -0.02
C 0.7398 0.7398 0.7805  -0.02
W 0.0000 0.0000 0.0000  -0.01

Output
- Symmetry: R-3m, No. 166
- ΔE_f: -19 kJ/mol of atoms
- Polymorph energy (0 for the lowest one): 116 meV/atom

Computed, not measured: a geometry-optimized Pr2Ho2In3 structure at the PBE-GGA level of DFT.

Unit cell a=4.6761 b=3.4802 c=12.6425 alpha=90.00 beta=79.34 gamma=90.00
Positions (direct):
Pr 0.5726 0.5000 0.8548
Pr 0.4274 0.5000 0.1452
Ho 0.2954 0.5000 0.4092
Ho 0.7046 0.5000 0.5908
In 0.1522 0.0000 0.6955
In 0.0000 0.0000 0.0000
In 0.8478 0.0000 0.3045

Output
- Symmetry: Cmmm, No. 65
- ΔE_f: -30 kJ/mol of atoms
- Polymorph energy (0 for the lowest one): 41 meV/atom

Computed, not measured: a geometry-optimized LaGdCdAu structure at the PBE-GGA level of DFT.

Unit cell a=5.3492 b=5.3492 c=5.3492 alpha=60.00 beta=60.00 gamma=60.00
Site moments in Bohr magnetons follow the coordinates.
Positions (direct):
Cd 0.7500 0.7500 0.7500  0.01
Gd 0.5000 0.5000 0.5000  -7.05
La 0.0000 0.0000 0.0000  -0.04
Au 0.2500 0.2500 0.2500  0.00

Output
- Symmetry: F-43m, No. 216
- ΔE_f: -51 kJ/mol of atoms

Computed, not measured: a geometry-optimized LaPm7Co2 structure at the PBE-GGA level of DFT.

Unit cell a=5.2080 b=8.4731 c=8.4731 alpha=118.18 beta=90.00 gamma=90.00
Positions (direct):
Co 0.5000 0.3019 0.6981
Co 0.5000 0.6981 0.3019
Pm 0.5000 0.5000 0.5000
Pm 0.5000 0.3301 0.0552
Pm 0.0000 0.7048 0.2952
Pm 0.5000 0.0552 0.3301
Pm 0.5000 0.9448 0.6699
Pm 0.0000 0.2952 0.7048
Pm 0.5000 0.6699 0.9448
La 0.0000 0.0000 0.0000

Output
- Symmetry: Cmmm, No. 65
- ΔE_f: 12 kJ/mol of atoms

Computed, not measured: a geometry-optimized Ac2Pm2Nd structure at the PBE-GGA level of DFT.

Unit cell a=4.9845 b=4.9845 c=9.0444 alpha=106.00 beta=106.00 gamma=90.00
Positions (direct):
Ac 0.2500 0.7500 0.5000
Ac 0.7500 0.2500 0.5000
Pm 0.4084 0.4084 0.8168
Pm 0.5916 0.5916 0.1832
Nd 0.0000 0.0000 0.0000

Output
- Symmetry: I4/mmm, No. 139
- ΔE_f: 40 kJ/mol of atoms
- Polymorph energy (0 for the lowest one): 339 meV/atom

Computed, not measured: a geometry-optimized TaCdIrN2 structure at the PBE-GGA level of DFT.

Unit cell a=3.9510 b=5.8937 c=3.9510 alpha=90.00 beta=90.00 gamma=90.00
Site moments in Bohr magnetons follow the coordinates.
Positions (direct):
N 0.5000 0.0000 0.0000  0.94
N 0.0000 0.0000 0.5000  0.83
Cd 0.0000 0.0000 0.0000  0.01
Ta 0.0000 0.5000 0.0000  -0.38
Ir 0.5000 0.5000 0.5000  0.54

Output
- Symmetry: P4/mmm, No. 123
- Formation energy from raw total energies: 2.478 eV per atom

Computed, not measured: a geometry-optimized AlFe4 structure at the PBE-GGA level of DFT.

Unit cell a=2.5258 b=2.5258 c=9.9669 alpha=84.97 beta=84.97 gamma=107.97
Site moments in Bohr magnetons follow the coordinates.
Positions (direct):
Fe 0.3996 0.3996 0.2008  2.08
Fe 0.1996 0.1996 0.6008  2.47
Fe 0.6004 0.6004 0.7992  2.08
Fe 0.8004 0.8004 0.3992  2.47
Al 0.0000 0.0000 0.0000  -0.05

Output
- Symmetry: Fmmm, No. 69
- ΔE_f: -6 kJ/mol of atoms
- Polymorph energy (0 for the lowest one): 47 meV/atom

Computed, not measured: a geometry-optimized PaNi4Ru structure at the PBE-GGA level of DFT.

Unit cell a=4.8677 b=4.8677 c=4.8677 alpha=60.00 beta=60.00 gamma=60.00
Site moments in Bohr magnetons follow the coordinates.
Positions (direct):
Ni 0.6236 0.1291 0.6236  0.17
Ni 0.1291 0.6236 0.6236  0.17
Ni 0.6236 0.6236 0.6236  0.17
Ni 0.6236 0.6236 0.1291  0.17
Pa 0.0000 0.0000 0.0000  -0.11
Ru 0.2500 0.2500 0.2500  0.12

Output
- Symmetry: F-43m, No. 216
- ΔE_f: -28 kJ/mol of atoms

Computed, not measured: a geometry-optimized Rb4ZrS4 structure at the PBE-GGA level of DFT.

Unit cell a=7.5036 b=9.2792 c=9.2792 alpha=90.00 beta=90.00 gamma=90.00
Positions (direct):
Rb 0.6345 0.9998 0.7217
Rb 0.8655 0.5002 0.7783
Rb 0.1345 0.7783 0.4998
Rb 0.1345 0.2217 0.5002
Rb 0.8655 0.4998 0.2217
Rb 0.3655 0.2783 0.9998
Rb 0.6345 0.0002 0.2783
Rb 0.3655 0.7217 0.0002
Zr 0.5000 0.5000 0.5000
Zr 0.0000 0.0000 0.0000
S 0.8105 0.7878 0.0001
S 0.6895 0.2878 0.5001
S 0.1895 0.0001 0.2122
S 0.3105 0.4999 0.2878
S 0.6895 0.7122 0.4999
S 0.8105 0.2122 0.9999
S 0.1895 0.9999 0.7878
S 0.3105 0.5001 0.7122

Output
- Symmetry: P4_2/nmc, No. 137
- Formation energy from raw total energies: -1.359 eV per atom

Computed, not measured: a geometry-optimized TiBeTe2I structure at the PBE-GGA level of DFT.

Unit cell a=4.9980 b=4.9980 c=5.1062 alpha=90.00 beta=90.00 gamma=90.00
Positions (direct):
Ti 0.5000 0.5000 0.5000
Be 0.0000 0.0000 0.0000
Te 0.0000 0.5000 0.0000
Te 0.5000 0.0000 0.0000
I 0.0000 0.0000 0.5000

Output
- Symmetry: P4/mmm, No. 123
- Polymorph energy (0 for the lowest one): 110 meV/atom
- Formation energy from raw total energies: 0.519 eV per atom

Computed, not measured: a geometry-optimized Sm7Y3Er structure at the PBE-GGA level of DFT.

Unit cell a=5.8723 b=8.5280 c=8.5280 alpha=82.71 beta=110.20 gamma=110.20
Positions (direct):
Sm 0.3060 0.0160 0.5965
Sm 0.0000 0.5000 0.5000
Sm 0.6940 0.9840 0.4035
Sm 0.3060 0.5965 0.0160
Sm 0.2136 0.2116 0.2116
Sm 0.7864 0.7884 0.7884
Sm 0.6940 0.4035 0.9840
Y 0.5000 0.0000 0.0000
Y 0.0000 0.2044 0.7956
Y 0.0000 0.7956 0.2044
Er 0.5000 0.5000 0.5000

Output
- Symmetry: C2/m, No. 12
- ΔE_f: 24 kJ/mol of atoms
- Polymorph energy (0 for the lowest one): 116 meV/atom

Computed, not measured: a geometry-optimized Bi2SBr structure at the PBE-GGA level of DFT.

Unit cell a=5.3972 b=5.3972 c=9.9263 alpha=74.22 beta=74.22 gamma=90.00
Positions (direct):
Br 0.0000 0.0000 0.0000
Br 0.7500 0.2500 0.5000
Bi 0.2065 0.6250 0.2500
Bi 0.8750 0.7935 0.7500
Bi 0.3750 0.4565 0.7500
Bi 0.5435 0.1250 0.2500
S 0.2500 0.7500 0.5000
S 0.5000 0.5000 0.0000

Output
- Symmetry: I-42d, No. 122
- Polymorph energy (0 for the lowest one): 183 meV/atom
- Formation energy from raw total energies: -0.120 eV per atom

Computed, not measured: a geometry-optimized AcNbSi2O8 structure at the PBE-GGA level of DFT.

Unit cell a=4.7955 b=4.7955 c=8.0845 alpha=72.75 beta=72.75 gamma=60.00
Positions (direct):
O 0.7586 0.4591 0.6699
O 0.1124 0.7586 0.6699
O 0.8876 0.5409 0.3301
O 0.5409 0.2414 0.3301
O 0.3160 0.3160 0.0520
O 0.2414 0.8876 0.3301
O 0.4591 0.1124 0.6699
O 0.6840 0.6840 0.9480
Nb 0.5000 0.5000 0.5000
Si 0.2449 0.2449 0.2654
Si 0.7551 0.7551 0.7346
Ac 0.0000 0.0000 0.0000

Output
- Symmetry: R32, No. 155
- Formation energy from raw total energies: -2.773 eV per atom

Computed, not measured: a geometry-optimized BaSe2Cl structure at the PBE-GGA level of DFT.

Unit cell a=5.7002 b=5.7002 c=5.7002 alpha=131.79 beta=112.56 gamma=87.13
Positions (direct):
Ba 0.4952 0.4952 0.0000
Cl 0.2542 0.7542 0.5000
Se 0.9337 0.9337 0.0000
Se 0.8169 0.3169 0.5000

Output
- Symmetry: Imm2, No. 44
- Polymorph energy (0 for the lowest one): 59 meV/atom
- Formation energy from raw total energies: -1.294 eV per atom

Computed, not measured: a geometry-optimized AsRuPb2 structure at the PBE-GGA level of DFT.

Unit cell a=6.8940 b=6.8940 c=6.8940 alpha=152.43 beta=141.21 gamma=48.25
Positions (direct):
Ru 0.5349 0.5349 0.0000
Pb 0.9880 0.9880 0.0000
Pb 0.2970 0.7970 0.5000
As 0.6800 0.1800 0.5000

Output
- Symmetry: Imm2, No. 44
- ΔE_f: 18 kJ/mol of atoms

Computed, not measured: a geometry-optimized PrZn5Rh2 structure at the PBE-GGA level of DFT.

Unit cell a=3.9922 b=6.3822 c=6.3822 alpha=72.45 beta=71.77 gamma=71.77
Positions (direct):
Zn 0.0000 0.5000 0.5000
Zn 0.3464 0.8354 0.4717
Zn 0.6536 0.5283 0.1646
Zn 0.6536 0.1646 0.5283
Zn 0.3464 0.4717 0.8354
Rh 0.7383 0.7617 0.7617
Rh 0.2617 0.2383 0.2383
Pr 0.0000 0.0000 0.0000

Output
- Symmetry: Immm, No. 71
- ΔE_f: -36 kJ/mol of atoms